Below is Ho2AuN after structural relaxation, with properties calculated at the PBE-GGA level.

Calculated values
Its formation energy without anion corrections is -1.107 eV/atom. Its raw total energy is -6.297 eV per atom.

Lattice parameters (Å, degrees): 3.5232 3.5232 7.4943 76.40 76.40 60.00
With the nearest neighbours (Å) after each atom.
Positions (direct):
Au1 0.5000 0.5000 0.5000  6 Ho 3.03
Ho1 0.2707 0.2707 0.1878  3 N 2.44
Ho2 0.7293 0.7293 0.8122  3 N 2.44
N1 0.0000 0.0000 0.0000  6 Ho 2.44

=====

Below is NaHoAu2 after structural relaxation, with properties calculated at the PBE-GGA level.

Calculated values
Its raw total energy is -3.726 eV per atom. Its formation energy is -2.45 eV per formula unit.

Lattice parameters (Å, degrees): 3.5728 3.5728 7.3470 90.00 90.00 90.00
With the nearest neighbours (Å) after each atom.
Positions (direct):
Na1 0.5000 0.5000 0.5000  8 Au 3.26, 4 Na 3.57
Au1 0.0000 0.0000 0.7800  4 Ho 3.00, 1 Au 3.23, 4 Na 3.26
Au2 0.0000 0.0000 0.2200  4 Ho 3.00, 1 Au 3.23, 4 Na 3.26
Ho1 0.5000 0.5000 0.0000  8 Au 3.00

=====

Below is NaHoAu2 after structural relaxation, with properties calculated at the PBE-GGA level.

Calculated values
Its raw total energy is -3.586 eV per atom. Its formation energy is -1.89 eV per formula unit.

Lattice parameters (Å, degrees): 3.9068 3.9068 8.2102 76.24 76.24 60.00
With the nearest neighbours (Å) after each atom.
Positions (direct):
Na1 0.5000 0.5000 0.5000  6 Au 3.10
Au1 0.7434 0.7434 0.7697  3 Ho 2.90, 3 Na 3.10
Au2 0.2566 0.2566 0.2303  3 Ho 2.90, 3 Na 3.10
Ho1 0.0000 0.0000 0.0000  6 Au 2.90

=====

Below is NaHoAu after structural relaxation, with properties calculated at the PBE-GGA level.

Calculated values
Its raw total energy is -3.439 eV per atom. Its formation energy is -1.14 eV per formula unit.

Lattice parameters (Å, degrees): 4.9922 4.9891 8.4857 72.89 54.01 59.95
With the nearest neighbours (Å) after each atom.
Positions (direct):
Na1 0.4463 0.3250 0.7932  3 Na 3.11-3.12, 4 Ho 3.28-3.33
Na2 0.9534 0.6591 0.6194  4 Au 3.09-3.31, 3 Na 3.11-3.12
Au1 0.4496 0.9926 0.4562  4 Ho 2.98-3.06, 3 Na 3.09
Au2 0.4726 0.6579 0.1011  6 Ho 2.93-3.22
Ho1 0.9317 0.3262 0.3076  6 Au 3.05-3.22, 1 Na 3.33
Ho2 0.8842 0.9916 0.0222  4 Au 2.93-2.98

=====

Below is NaHo4Au5 after structural relaxation, with properties calculated at the PBE-GGA level.

Calculated values
Its raw total energy is -4.365 eV per atom. Its formation energy is -7.63 eV per formula unit.

Lattice parameters (Å, degrees): 3.5583 3.5583 18.2102 90.00 90.00 90.00
With the nearest neighbours (Å) after each atom.
Positions (direct):
Na1 0.0000 0.0000 0.0000  8 Au 3.23, 4 Na 3.56
Ho1 0.0000 0.0000 0.1989  8 Au 2.98-3.15
Ho2 0.0000 0.0000 0.4004  8 Au 3.08-3.10
Ho3 0.0000 0.0000 0.5996  8 Au 3.08-3.10
Ho4 0.0000 0.0000 0.8011  8 Au 2.98-3.15
Au1 0.5000 0.5000 0.1108  4 Ho 2.98, 4 Na 3.23
Au2 0.5000 0.5000 0.3025  8 Ho 3.08-3.15
Au3 0.5000 0.5000 0.5000  8 Ho 3.10
Au4 0.5000 0.5000 0.6975  8 Ho 3.08-3.15
Au5 0.5000 0.5000 0.8892  4 Ho 2.98, 4 Na 3.23

=====

Below is Na2HoAuO4 after structural relaxation, with properties calculated at the PBE-GGA level.

Calculated values
Its formation energy without anion corrections is -1.297 eV/atom. Its raw total energy is -5.088 eV per atom.

Lattice parameters (Å, degrees): 5.8626 5.1428 5.1428 71.04 55.25 55.25
With the nearest neighbours (Å) after each atom.
Positions (direct):
Na1 0.0000 0.5000 0.5000  8 O 2.60-2.62
Na2 0.5000 0.5000 0.5000  8 O 2.60-2.62
Ho1 0.0000 0.0000 0.0000  4 O 2.20
Au1 0.5000 0.0000 0.0000  4 O 2.22
O1 0.0507 0.3914 0.0000  1 Ho 2.20, 1 Au 2.22
O2 0.9493 0.0000 0.6086  1 Ho 2.20, 1 Au 2.22
O3 0.5579 0.0000 0.3914  1 Ho 2.20, 1 Au 2.22
O4 0.4421 0.6086 0.0000  1 Ho 2.20, 1 Au 2.22

=====

Below is Na3Ho3AuO8 after structural relaxation, with properties calculated at the PBE-GGA level.

Calculated values
Its formation energy without anion corrections is -2.215 eV/atom. Its raw total energy is -6.257 eV per atom.

Lattice parameters (Å, degrees): 6.7721 6.7186 6.8282 120.00 90.00 120.26
With the nearest neighbours (Å) after each atom.
Positions (direct):
Na1 0.0000 0.0000 0.0000  6 O 2.50-2.53
Na2 0.0000 0.5000 0.0000  6 O 2.47-2.57
Na3 0.5000 0.5000 0.0000  6 O 2.47-2.57
Ho1 0.5000 0.0000 0.5000  6 O 2.26-2.29
Ho2 0.5000 0.5000 0.5000  6 O 2.26-2.32
Ho3 0.0000 0.5000 0.5000  6 O 2.26-2.32
Au1 0.0000 0.0000 0.5000  6 O 2.08-2.25
O1 0.2624 0.5248 0.2943  3 Ho 2.26, 1 Na 2.50
O2 0.7376 0.4752 0.7057  3 Ho 2.26, 1 Na 2.50
O3 0.7807 0.5615 0.3017  1 Au 2.08, 2 Ho 2.32
O4 0.2193 0.4385 0.6983  1 Au 2.08, 2 Ho 2.32
O5 0.7640 0.0197 0.2879  1 Au 2.25, 2 Ho 2.28-2.29, 1 Na 2.47
O6 0.2360 0.9803 0.7121  1 Au 2.25, 2 Ho 2.28-2.29, 1 Na 2.47
O7 0.2557 0.0197 0.2879  1 Au 2.25, 2 Ho 2.28-2.29, 1 Na 2.47
O8 0.7443 0.9803 0.7121  1 Au 2.25, 2 Ho 2.28-2.29, 1 Na 2.47

=====

Below is NaHoPbAu after structural relaxation, with properties calculated at the PBE-GGA level.

Calculated values
Its raw total energy is -3.637 eV per atom. Its formation energy is -1.66 eV per formula unit.

Lattice parameters (Å, degrees): 5.1641 5.1641 5.1641 60.00 60.00 60.00
With the nearest neighbours (Å) after each atom.
Positions (direct):
Pb1 0.5000 0.5000 0.5000  4 Ho 3.16, 4 Na 3.16
Na1 0.7500 0.7500 0.7500  4 Au 3.16, 4 Pb 3.16
Au1 0.0000 0.0000 0.0000  4 Ho 3.16, 4 Na 3.16
Ho1 0.2500 0.2500 0.2500  4 Pb 3.16, 4 Au 3.16

=====

Which value of raw total energy does entry 3 give?
-3.586 eV per atom

=====

Among the records above, which one has the lowest raw total energy?
Ho2AuN

=====

Which value of raw total energy does entry 7 give?
-6.257 eV per atom